Version one
B3TeOs (PBE-GGA, optimized geometry); DOS at the Fermi energy = 5.73 states/eV/f.u.; symmetry = No. 221
1.0
4.231 0.000 0.000
0.000 4.231 0.000
0.000 0.000 4.231
B Te Os
3 1 1
Direct
0.000 0.500 0.000
0.000 0.000 0.500
0.500 0.000 0.000
0.500 0.500 0.500
0.000 0.000 0.000

Version two
B3TeOs (PBE-GGA, optimized geometry); DOS at the Fermi energy = 6.05 states/eV/f.u.; symmetry = No. 221
1.0
-2.849 -2.038 2.474
-2.007 -1.447 -3.503
2.500 -3.485 0.007
B Te Os
3 1 1
Direct
0.000 0.500 0.000
0.000 0.000 0.500
0.500 0.000 0.000
0.000 0.000 0.000
0.500 0.500 0.500

What should be chosen as the most stable of them? Choose version one.

Version one
TiBOs (PBE-GGA, optimized geometry); DOS at the Fermi energy = 1.10 states/eV/f.u.; symmetry = No. 63
1.0
3.176 0.000 0.000
0.000 3.061 0.000
-1.588 0.000 7.213
Ti B Os
2 2 2
Direct
0.587 0.750 0.175
0.413 0.250 0.825
0.966 0.750 0.931
0.034 0.250 0.069
0.808 0.750 0.617
0.192 0.250 0.383

Version two
TiBOs (PBE-GGA, optimized geometry); DOS at the Fermi energy = 2.67 states/eV/f.u.; symmetry = No. 69
1.0
4.246 0.082 0.132
-1.749 4.779 -0.594
0.748 2.204 3.554
B Ti Os
2 2 2
Direct
0.282 0.000 0.718
0.616 0.000 0.384
0.450 0.500 0.550
0.950 0.500 0.050
0.155 0.000 0.257
0.743 0.000 0.845

What should be chosen as the most stable of them? Choose version one.

Version one
TiBOs3 (PBE-GGA, optimized geometry); DOS at the Fermi energy = 2.61 states/eV/f.u.; symmetry = No. 221
1.0
-1.117 1.348 -3.689
0.343 -3.787 -1.487
-3.912 -0.717 0.923
B Os Ti
1 3 1
Direct
0.000 0.000 0.000
0.000 0.500 0.000
0.000 0.000 0.500
0.500 0.000 0.000
0.500 0.500 0.500

Version two
TiBOs3 (PBE-GGA, optimized geometry); DOS at the Fermi energy = 7.81 states/eV/f.u.; symmetry = No. 221
1.0
-2.121 3.968 -0.600
-0.927 -1.144 -4.294
-3.905 -1.884 1.345
B Os Ti
1 3 1
Direct
0.500 0.500 0.500
0.000 0.500 0.000
0.000 0.000 0.500
0.500 0.000 0.000
0.000 0.000 0.000

What should be chosen as the most stable of them? Choose version one.

Version one
TiB3Os (PBE-GGA, optimized geometry); DOS at the Fermi energy = 1.55 states/eV/f.u.; symmetry = No. 221
1.0
3.857 0.000 0.000
0.000 3.857 0.000
0.000 0.000 3.857
B Os Ti
3 1 1
Direct
0.000 0.500 0.000
0.000 0.000 0.500
0.500 0.000 0.000
0.500 0.500 0.500
0.000 0.000 0.000

Version two
TiB3Os (PBE-GGA, optimized geometry); DOS at the Fermi energy = 3.54 states/eV/f.u.; symmetry = No. 221
1.0
-1.409 0.558 3.708
-3.646 -1.129 -1.216
0.876 -3.803 0.905
B Os Ti
3 1 1
Direct
0.000 0.500 0.000
0.000 0.000 0.500
0.500 0.000 0.000
0.000 0.000 0.000
0.500 0.500 0.500

What should be chosen as the most stable of them? Choose version two.

Version one
Ti2B2Os (PBE-GGA, optimized geometry); DOS at the Fermi energy = 2.83 states/eV/f.u.; symmetry = No. 71
1.0
3.123 0.000 0.000
1.562 4.449 0.440
1.562 1.405 4.244
Ti B Os
2 2 1
Direct
0.788 0.712 0.712
0.212 0.288 0.288
0.500 0.325 0.675
0.500 0.675 0.325
0.000 0.000 0.000

Version two
Ti2B2Os (PBE-GGA, optimized geometry); DOS at the Fermi energy = 0.64 states/eV/f.u.; symmetry = No. 127
1.0
5.879 0.000 0.000
0.000 5.879 0.000
0.000 0.000 3.200
B Os Ti
4 2 4
Direct
0.390 0.890 0.000
0.890 0.610 0.000
0.610 0.110 0.000
0.110 0.390 0.000
0.000 0.000 0.000
0.500 0.500 0.000
0.176 0.676 0.500
0.676 0.824 0.500
0.824 0.324 0.500
0.324 0.176 0.500

What should be chosen as the most stable of them? Choose version two.

Version one
TlBOs2 (PBE-GGA, optimized geometry); DOS at the Fermi energy = 3.78 states/eV/f.u.; symmetry = No. 122
1.0
4.681 0.000 0.000
0.000 4.681 0.000
2.340 2.340 6.953
Tl B Os
2 2 4
Direct
0.000 0.000 0.000
0.750 0.250 0.500
0.500 0.500 0.000
0.250 0.750 0.500
0.459 0.125 0.250
0.291 0.625 0.250
0.375 0.541 0.750
0.875 0.709 0.750

Version two
TlBOs2 (PBE-GGA, optimized geometry); DOS at the Fermi energy = 5.58 states/eV/f.u.; symmetry = No. 225
1.0
0.000 3.081 3.081
3.081 0.000 3.081
3.081 3.081 0.000
Tl B Os
1 1 2
Direct
0.500 0.500 0.500
0.000 0.000 0.000
0.250 0.250 0.250
0.750 0.750 0.750

What should be chosen as the most stable of them? Choose version one.

Version one
TlB3Os (PBE-GGA, optimized geometry); DOS at the Fermi energy = 0.00 states/eV/f.u.; symmetry = No. 221
1.0
-1.896 -3.729 -0.663
3.705 -1.672 -1.192
0.788 -1.113 4.010
Tl B Os
1 3 1
Direct
0.500 0.500 0.500
0.000 0.500 0.000
0.000 0.000 0.500
0.500 0.000 0.000
0.000 0.000 0.000

Version two
TlB3Os (PBE-GGA, optimized geometry); DOS at the Fermi energy = 6.41 states/eV/f.u.; symmetry = No. 221
1.0
-2.756 0.832 -3.182
-3.269 -1.149 2.530
-0.361 4.049 1.372
Tl B Os
1 3 1
Direct
0.000 0.000 0.000
0.000 0.500 0.000
0.000 0.000 0.500
0.500 0.000 0.000
0.500 0.500 0.500

What should be chosen as the most stable of them? Choose version one.

Version one
Tl2BOs (PBE-GGA, optimized geometry); DOS at the Fermi energy = 2.83 states/eV/f.u.; symmetry = No. 122
1.0
-5.556 3.208 7.519
5.956 -4.638 6.380
1.342 0.940 7.087
Tl B Os
4 2 2
Direct
0.376 0.125 0.250
0.374 0.625 0.250
0.375 0.624 0.750
0.875 0.626 0.750
0.500 0.500 0.000
0.250 0.750 0.500
0.000 0.000 0.000
0.750 0.250 0.500

Version two
Tl2BOs (PBE-GGA, optimized geometry); DOS at the Fermi energy = 2.35 states/eV/f.u.; symmetry = No. 225
1.0
-3.764 1.033 2.690
-2.929 3.505 -1.268
-4.367 -1.004 -1.548
Tl B Os
2 1 1
Direct
0.250 0.250 0.250
0.750 0.750 0.750
0.000 0.000 0.000
0.500 0.500 0.500

What should be chosen as the most stable of them? Choose version one.

Version one
TlBOs3 (PBE-GGA, optimized geometry); DOS at the Fermi energy = 4.74 states/eV/f.u.; symmetry = No. 221
1.0
-1.390 3.728 -3.064
-4.818 -1.247 0.668
-0.265 3.125 3.922
Tl B Os
1 1 3
Direct
0.000 0.000 0.000
0.500 0.500 0.500
0.000 0.500 0.000
0.000 0.000 0.500
0.500 0.000 0.000

Version two
TlBOs3 (PBE-GGA, optimized geometry); DOS at the Fermi energy = 5.75 states/eV/f.u.; symmetry = No. 221
1.0
4.194 0.000 0.000
0.000 4.194 0.000
0.000 0.000 4.194
Tl B Os
1 1 3
Direct
0.500 0.500 0.500
0.000 0.000 0.000
0.000 0.500 0.000
0.000 0.000 0.500
0.500 0.000 0.000

What should be chosen as the most stable of them? Choose version two.

Version one
TmB2Os (PBE-GGA, optimized geometry); DOS at the Fermi energy = 2.11 states/eV/f.u.; symmetry = No. 59
1.0
-2.984 1.018 -0.055
-1.349 -3.787 3.106
1.226 3.875 5.257
Tm B Os
2 4 2
Direct
0.500 0.881 0.000
0.000 0.119 0.500
0.000 0.596 0.733
0.500 0.404 0.767
0.000 0.596 0.267
0.500 0.404 0.233
0.500 0.636 0.500
0.000 0.364 0.000

Version two
TmB2Os (PBE-GGA, optimized geometry); DOS at the Fermi energy = 2.04 states/eV/f.u.; symmetry = No. 62
1.0
-2.487 -0.603 4.618
-3.454 -4.069 -2.391
4.151 -4.493 1.649
Tm B Os
4 8 4
Direct
0.250 0.010 0.334
0.250 0.510 0.166
0.750 0.990 0.666
0.750 0.490 0.834
0.082 0.361 0.538
0.418 0.861 0.962
0.582 0.639 0.462
0.918 0.139 0.038
0.918 0.639 0.462
0.582 0.139 0.038
0.418 0.361 0.538
0.082 0.861 0.962
0.250 0.177 0.820
0.250 0.677 0.680
0.750 0.823 0.180
0.750 0.323 0.320

What should be chosen as the most stable of them? Choose version two.

Version one
VB3Os (PBE-GGA, optimized geometry); DOS at the Fermi energy = 1.55 states/eV/f.u.; symmetry = No. 221
1.0
3.781 0.000 0.000
0.000 3.781 0.000
0.000 0.000 3.781
B Os V
3 1 1
Direct
0.000 0.500 0.000
0.000 0.000 0.500
0.500 0.000 0.000
0.500 0.500 0.500
0.000 0.000 0.000

Version two
VB3Os (PBE-GGA, optimized geometry); DOS at the Fermi energy = 4.83 states/eV/f.u.; symmetry = No. 221
1.0
4.025 0.000 0.000
0.000 4.025 0.000
0.000 0.000 4.025
B Os V
3 1 1
Direct
0.000 0.500 0.000
0.000 0.000 0.500
0.500 0.000 0.000
0.000 0.000 0.000
0.500 0.500 0.500

What should be chosen as the most stable of them? Choose version two.

Version one
VB2Os (PBE-GGA, optimized geometry); DOS at the Fermi energy = 3.49 states/eV/f.u.; symmetry = No. 122
1.0
4.557 0.000 0.000
0.000 4.557 0.000
2.278 2.278 5.092
B Os V
4 2 2
Direct
0.647 0.125 0.250
0.103 0.625 0.250
0.375 0.353 0.750
0.875 0.897 0.750
0.000 0.000 0.000
0.750 0.250 0.500
0.500 0.500 0.000
0.250 0.750 0.500

Version two
VB2Os (PBE-GGA, optimized geometry); DOS at the Fermi energy = 3.10 states/eV/f.u.; symmetry = No. 166
1.0
3.098 0.000 0.000
1.549 2.683 0.000
1.549 0.894 4.952
B Os V
2 1 1
Direct
0.249 0.249 0.253
0.751 0.751 0.747
0.000 0.000 0.000
0.500 0.500 0.500

What should be chosen as the most stable of them? Choose version two.